--- a ---
Ta4As5 | PBE | optimized geometry

a = 7.038 Å, b = 7.038 Å, c = 7.038 Å
α = 93.38°, β = 93.38°, γ = 151.90°
Positions (direct):
Ta 0.673 0.000 0.673
Ta 0.327 0.000 0.327
Ta 0.000 0.327 0.327
Ta 0.000 0.673 0.673
As 0.000 0.000 0.000
As 0.670 0.330 0.000
As 0.330 0.670 0.000
As 0.330 0.330 0.660
As 0.670 0.670 0.340

Properties
D(E_F)	7.5	states/eV per cell
space group	I4/mmm

---

--- b ---
Ta4As5 | PBE | optimized geometry

a = 8.236 Å, b = 8.236 Å, c = 5.337 Å
α = 90.00°, β = 90.00°, γ = 120.00°
Positions (direct):
As 0.000 0.709 0.250
As 0.291 0.291 0.250
As 0.709 0.000 0.250
As 0.000 0.291 0.750
As 0.709 0.709 0.750
As 0.291 0.000 0.750
As 0.667 0.333 0.000
As 0.333 0.667 0.500
As 0.333 0.667 0.000
As 0.667 0.333 0.500
Ta 0.000 0.000 0.000
Ta 0.000 0.000 0.500
Ta 0.000 0.357 0.250
Ta 0.643 0.643 0.250
Ta 0.357 0.000 0.250
Ta 0.000 0.643 0.750
Ta 0.357 0.357 0.750
Ta 0.643 0.000 0.750

Properties
D(E_F)	13.7	states/eV per cell
space group	P6_3/mcm

---

Name the most stable of them. b.

---

--- a ---
Ta3As4 | PBE | optimized geometry

a = 5.551 Å, b = 5.551 Å, c = 4.848 Å
α = 90.00°, β = 90.00°, γ = 120.00°
Positions (direct):
Ta 0.000 0.500 0.000
Ta 0.500 0.500 0.000
Ta 0.500 0.000 0.000
As 0.000 0.000 0.252
As 0.000 0.000 0.748
As 0.667 0.333 0.500
As 0.333 0.667 0.500

Properties
D(E_F)	4.9	states/eV per cell
space group	P6/mmm

---

--- b ---
Ta3As4 | PBE | optimized geometry

a = 10.649 Å, b = 10.649 Å, c = 10.649 Å
α = 161.58°, β = 161.58°, γ = 26.17°
Positions (direct):
Ta 0.000 0.000 0.000
Ta 0.704 0.704 0.000
Ta 0.296 0.296 0.000
As 0.846 0.846 0.000
As 0.154 0.154 0.000
As 0.568 0.568 0.000
As 0.432 0.432 0.000

Properties
D(E_F)	3.2	states/eV per cell
space group	I4/mmm

---

Name the most stable of them. b.